## SmPa2RuN4 (PBE)

Data for SmPa2RuN4 after structural relaxation.

a b c (Å): 3.408 6.142 11.721
angles (deg): 90.00 90.00 106.11
Fractional coordinates of all 16 atoms:
N: 0.000 0.000 0.000
N: 0.275 0.550 0.389
N: 0.725 0.450 0.889
N: 0.275 0.550 0.111
N: 0.000 0.000 0.500
N: 0.457 0.914 0.750
N: 0.543 0.086 0.250
N: 0.725 0.450 0.611
Pa: 0.631 0.261 0.059
Pa: 0.369 0.739 0.559
Pa: 0.369 0.739 0.941
Pa: 0.631 0.261 0.441
Sm: 0.107 0.215 0.750
Sm: 0.893 0.785 0.250
Ru: 0.846 0.692 0.750
Ru: 0.154 0.308 0.250

Calculated values
DOS(E_F) ... 4.52 states/eV per cell
Raw formation energy ... -961.4 kJ/mol of formula units
Total DFT energy (no corrections) ... -9.53 eV per atom
Size of the total moment ... 0.00 μB/f.u.